1.
DFT (PBE-GGA) results for a geometry-optimized Al2ReBr structure.

Cell: 6.9150 6.9150 6.9150 Å, 125.49 125.49 80.73°
Last column: nearest neighbours and their distance in Å.
Sites, in units of the cell vectors:
Al: 0.0858 0.6250 0.9608  2 Re 2.45
Al: 0.3750 0.3358 0.4608  2 Re 2.45
Al: 0.6642 0.1250 0.0392  2 Re 2.45
Al: 0.8750 0.9142 0.5392  2 Re 2.45
Re: 0.0000 0.0000 0.0000  4 Al 2.45
Re: 0.7500 0.2500 0.5000  4 Al 2.45
Br: 0.2500 0.7500 0.5000  4 Al 2.76
Br: 0.5000 0.5000 0.0000  4 Al 2.76

The energy above the lowest structure with this stoichiometry is 0.981 eV per atom. As for the space group: I-42d (122).



2.
DFT (PBE-GGA) results for a geometry-optimized Al2ReBr structure.

Cell: 6.9737 6.9737 6.9737 Å, 155.25 145.05 43.29°
Last column: nearest neighbours and their distance in Å.
Sites, in units of the cell vectors:
Al: 0.0000 0.0000 0.0000  4 Re 2.60, 2 Al 2.79
Al: 0.6419 0.1419 0.5000  2 Re 2.66, 2 Al 2.79
Re: 0.4718 0.4718 0.0000  6 Al 2.60-2.66, 2 Br 2.61
Br: 0.3066 0.8066 0.5000  2 Re 2.61

The energy above the lowest structure with this stoichiometry is 0.430 eV per atom. As for the space group: Imm2 (44).



3.
DFT (PBE-GGA) results for a geometry-optimized AlRe2Br structure.

Cell: 6.0552 6.0552 6.0552 Å, 152.14 139.02 50.28°
Last column: nearest neighbours and their distance in Å.
Sites, in units of the cell vectors:
Al: 0.0000 0.0000 0.0000  4 Br 2.57, 4 Re 2.67
Re: 0.2043 0.7043 0.5000  2 Al 2.67, 6 Re 2.76-2.92
Re: 0.7957 0.2957 0.5000  2 Al 2.67, 6 Re 2.76-2.92
Br: 0.5000 0.5000 0.0000  4 Al 2.57

The energy above the lowest structure with this stoichiometry is 0.546 eV per atom. As for the space group: Immm (71).



4.
DFT (PBE-GGA) results for a geometry-optimized AlRe2Br structure.

Cell: 6.3861 6.3861 6.3861 Å, 123.99 123.99 83.21°
Last column: nearest neighbours and their distance in Å.
Sites, in units of the cell vectors:
Al: 0.0000 0.0000 0.0000  4 Re 2.49
Al: 0.7500 0.2500 0.5000  4 Re 2.49
Re: 0.1390 0.6250 0.0140  2 Br 2.38, 2 Al 2.49
Re: 0.3750 0.3890 0.5140  2 Br 2.38, 2 Al 2.49
Re: 0.6110 0.1250 0.9860  2 Br 2.38, 2 Al 2.49
Re: 0.8750 0.8610 0.4860  2 Br 2.38, 2 Al 2.49
Br: 0.2500 0.7500 0.5000  4 Re 2.38
Br: 0.5000 0.5000 0.0000  4 Re 2.38

The energy above the lowest structure with this stoichiometry is 1.735 eV per atom. As for the space group: I-42d (122).



5.
DFT (PBE-GGA) results for a geometry-optimized AlRe2Br4 structure.

Cell: 7.5129 7.5129 7.5129 Å, 136.60 136.60 63.05°
Last column: nearest neighbours and their distance in Å.
Sites, in units of the cell vectors:
Al: 0.0000 0.0000 0.0000  6 Br 2.62-2.78
Re: 0.4158 0.4158 0.0000  1 Re 2.16
Re: 0.5842 0.5842 0.0000  1 Re 2.16
Br: 0.0000 0.5000 0.5000  2 Al 2.78, 4 Re 2.98
Br: 0.2049 0.2049 0.0000  1 Al 2.62, 1 Re 2.70
Br: 0.5000 0.0000 0.5000  2 Al 2.78, 4 Re 2.98
Br: 0.7951 0.7951 0.0000  1 Al 2.62, 1 Re 2.70

As for the space group: I4/mmm (139).



6.
DFT (PBE-GGA) results for a geometry-optimized AlReBr2 structure.

Cell: 9.4275 9.4275 9.4275 Å, 19.98 19.98 19.98°
Last column: nearest neighbours and their distance in Å.
Sites, in units of the cell vectors:
Al: 0.0000 0.0000 0.0000  3 Br 2.63, 3 Re 2.66
Re: 0.2660 0.2660 0.2660  3 Br 2.60, 3 Al 2.66
Br: 0.5350 0.5350 0.5350  3 Re 2.60
Br: 0.7325 0.7325 0.7325  3 Al 2.63

The energy above the lowest structure with this stoichiometry is 0.064 eV per atom. As for the space group: R3m (160).



7.
DFT (PBE-GGA) results for a geometry-optimized AlReBr3 structure.

Cell: 5.2561 5.2561 5.2561 Å, 90.00 90.00 90.00°
Last column: nearest neighbours and their distance in Å.
Sites, in units of the cell vectors:
Al: 0.0000 0.0000 0.0000  12 Br 3.72
Re: 0.5000 0.5000 0.5000  6 Br 2.63
Br: 0.0000 0.5000 0.5000  2 Re 2.63
Br: 0.5000 0.0000 0.5000  2 Re 2.63
Br: 0.5000 0.5000 0.0000  2 Re 2.63

The energy above the lowest structure with this stoichiometry is 0.000 eV per atom. As for the space group: Pm-3m (221).



8.
DFT (PBE-GGA) results for a geometry-optimized AlReBr2 structure.

Cell: 7.9819 7.9819 7.9819 Å, 157.11 149.91 38.14°
Last column: nearest neighbours and their distance in Å.
Sites, in units of the cell vectors:
Al: 0.0000 0.0000 0.0000  4 Re 2.61
Re: 0.5000 0.5000 0.0000  4 Al 2.61, 4 Br 2.66
Br: 0.3584 0.8584 0.5000  2 Re 2.66, 2 Al 2.98
Br: 0.6416 0.1416 0.5000  2 Re 2.66, 2 Al 2.98

The energy above the lowest structure with this stoichiometry is 0.177 eV per atom. As for the space group: Immm (71).



no.,V (Å³/atom),uncorrected formation energy (eV per formula unit),DFT total energy (eV/atom)
1,26.420,3.54,-4.516
2,20.283,1.34,-5.066
3,16.938,2.71,-6.901
4,21.465,7.46,-5.712
5,28.234,5.76,-4.224
6,21.404,0.27,-4.818
7,29.042,2.47,-3.748
8,24.749,0.72,-4.704